Computed, not measured: an optimized crystal structure of Sc2AlIn at the PBE level of DFT.

abc: 5.3043 5.3043 3.1362
angles: 90.00 90.00 107.95
With the nearest neighbours (Å) after each atom.
Sites, in units of the cell vectors:
Sc 0.0000 0.5000 0.0000  4 In 3.08, 4 Al 3.08, 4 Sc 3.12-3.14
Sc 0.5000 0.0000 0.0000  4 In 3.08, 4 Al 3.08, 4 Sc 3.12-3.14
Al 0.0000 0.0000 0.5000  8 Sc 3.08, 2 In 3.12, 2 Al 3.14
In 0.5000 0.5000 0.5000  8 Sc 3.08, 2 Al 3.12, 2 In 3.14

magnetic moment	0.75	μB per cell
ΔE_f	-0.4176	eV/atom
crystal system	orthorhombic
DOS(E_F)	2.745	states/eV per cell


Computed, not measured: an optimized crystal structure of Sc2AlIn at the PBE level of DFT.

abc: 3.3459 4.3608 6.0692
angles: 90.00 90.00 90.00
With the nearest neighbours (Å) after each atom.
Sites, in units of the cell vectors:
Sc 0.0000 0.0000 0.0000  2 Al 2.90-3.16, 4 In 3.11, 4 Sc 3.20
Sc 0.5000 0.5000 0.2688  2 In 2.99-3.08, 4 Al 3.03, 6 Sc 3.20-3.35
Al 0.0000 0.0000 0.4786  6 Sc 2.90-3.16, 4 In 3.24
In 0.5000 0.5000 0.7615  6 Sc 2.99-3.11, 4 Al 3.24, 2 In 3.35

magnetic moment	0.00	μB per cell
ΔE_f	-0.1889	eV/atom
crystal system	orthorhombic
DOS(E_F)	4.392	states/eV per cell


Short version: uncorrected energy = -5.204, -4.975 eV/atom, in the order given.